# Pm2PrHo5Sc | Alexandria via LeMat-Bulk | PBE-GGA | relaxed
# Fermi-level density of states = 12.6 states/eV/f.u.
# E = -4.67 eV per atom
data_Pm2PrHo5Sc
_chemical_formula_sum 'Pm4 Pr2 Ho10 Sc2'
_cell_length_a 10.250
_cell_length_b 10.250
_cell_length_c 10.445
_cell_angle_alpha 90.00
_cell_angle_beta 90.00
_cell_angle_gamma 148.32
_space_group_name_H-M_alt 'P 1'
_space_group_IT_number 1
loop_
_space_group_symop_operation_xyz
'x,y,z'
loop_
_atom_site_label
_atom_site_fract_x
_atom_site_fract_y
_atom_site_fract_z
Pm1 0.112 0.888 0.500
Pm2 0.115 0.885 0.918
Pm3 0.885 0.115 0.418
Pm4 0.888 0.112 0.000
Pr1 0.414 0.586 0.642
Pr2 0.586 0.414 0.142
Ho1 0.018 0.982 0.205
Ho2 0.277 0.723 0.508
Ho3 0.297 0.703 0.890
Ho4 0.375 0.625 0.204
Ho5 0.482 0.518 0.924
Ho6 0.518 0.482 0.424
Ho7 0.625 0.375 0.704
Ho8 0.703 0.297 0.390
Ho9 0.723 0.277 0.008
Ho10 0.982 0.018 0.705
Sc1 0.197 0.803 0.199
Sc2 0.803 0.197 0.699

=====

# Pm2PrHoSc | Alexandria via LeMat-Bulk | PBE-GGA | relaxed
# Fermi-level density of states = 6.4 states/eV/f.u.
# E = -4.70 eV per atom
data_Pm2PrHoSc
_chemical_formula_sum 'Pm4 Pr2 Ho2 Sc2'
_cell_length_a 7.064
_cell_length_b 7.064
_cell_length_c 7.191
_cell_angle_alpha 90.00
_cell_angle_beta 90.00
_cell_angle_gamma 108.36
_space_group_name_H-M_alt 'P 1'
_space_group_IT_number 1
loop_
_space_group_symop_operation_xyz
'x,y,z'
loop_
_atom_site_label
_atom_site_fract_x
_atom_site_fract_y
_atom_site_fract_z
Pm1 0.199 0.199 0.000
Pm2 0.199 0.199 0.500
Pm3 0.801 0.801 0.000
Pm4 0.801 0.801 0.500
Pr1 0.228 0.772 0.750
Pr2 0.772 0.228 0.250
Ho1 0.241 0.759 0.250
Ho2 0.759 0.241 0.750
Sc1 0.490 0.510 0.750
Sc2 0.510 0.490 0.250

=====

Number 1: ΔE_f 0.16 eV per atom, calculated volume 32.0 A^3/atom, total magnetic moment 0.000 μB/f.u.. Number 2: ΔE_f 0.34 eV per atom, calculated volume 34.1 A^3/atom, total magnetic moment 0.000 μB/f.u..